Record 1
# Zr8Ge2C3 PBE relaxed
# M_tot ... 0.00 μB per cell
# Volume ... 507.13 Å³/cell
# D(E_F) ... 13.05 states/eV per cell
# Energy of formation from the pure elements ... -0.51 eV per atom
# Total energy ... -8.613 eV per atom
data_Zr8Ge2C3
_cell_length_a 13.037
_cell_length_b 6.736
_cell_length_c 5.992
_cell_angle_alpha 90.00
_cell_angle_beta 105.48
_cell_angle_gamma 90.00
_symmetry_space_group_name_H-M 'C 1 2/m 1'
_symmetry_Int_Tables_number 12
loop_
_symmetry_equiv_pos_as_xyz
'x,y,z'
'-x,-y,-z'
'-x,y,-z'
'x,-y,z'
'x+1/2,y+1/2,z'
'-x+1/2,-y+1/2,-z'
'-x+1/2,y+1/2,-z'
'x+1/2,-y+1/2,z'
loop_
_atom_site_label
_atom_site_type_symbol
_atom_site_fract_x
_atom_site_fract_y
_atom_site_fract_z
Zr1 Zr 0.096 0.000 0.415
Zr2 Zr 0.097 0.252 0.885
Zr3 Zr 0.099 0.500 0.393
Ge1 Ge 0.246 0.000 0.174
C1 C 0.000 0.262 0.500
C2 C 0.000 0.500 0.000

Record 2
# BaCaRe2 PBE relaxed
# M_tot ... 0.00 μB per cell
# Volume ... 95.85 Å³/cell
# D(E_F) ... 7.24 states/eV per cell
# Energy of formation from the pure elements ... 1.59 eV per atom
# E above lowest polymorph ... 1.242 eV per atom
# Total energy ... -5.611 eV per atom
data_BaCaRe2
_cell_length_a 5.799
_cell_length_b 5.799
_cell_length_c 2.850
_cell_angle_alpha 90.00
_cell_angle_beta 90.00
_cell_angle_gamma 90.00
_symmetry_space_group_name_H-M 'P 4/m m m'
_symmetry_Int_Tables_number 123
_symmetry_space_group_name_Hall '-P 4 2'
loop_
_atom_site_label
_atom_site_type_symbol
_atom_site_fract_x
_atom_site_fract_y
_atom_site_fract_z
Ba1 Ba 0.000 0.000 0.000
Ca1 Ca 0.500 0.500 0.000
Re1 Re 0.000 0.500 0.500

Record 3
# K2CuHg PBE relaxed
# M_tot ... 0.00 μB per cell
# Volume ... 143.52 Å³/cell
# D(E_F) ... 2.51 states/eV per cell
# Energy of formation from the pure elements ... 0.11 eV per atom
# Total energy ... -1.541 eV per atom
data_K2CuHg
_cell_length_a 3.799
_cell_length_b 3.810
_cell_length_c 9.916
_cell_angle_alpha 90.00
_cell_angle_beta 90.00
_cell_angle_gamma 90.00
_symmetry_space_group_name_H-M 'P m m 2'
_symmetry_Int_Tables_number 25
loop_
_symmetry_equiv_pos_as_xyz
'x,y,z'
'-x,-y,z'
'-x,y,z'
'x,-y,z'
loop_
_atom_site_label
_atom_site_type_symbol
_atom_site_fract_x
_atom_site_fract_y
_atom_site_fract_z
K1 K 0.000 0.000 0.000
K2 K 0.500 0.500 0.417
Cu1 Cu 0.000 0.000 0.674
Hg1 Hg 0.500 0.500 0.749

Record 4
# Ho6Ag2Pd PBE relaxed
# M_tot ... 0.00 μB per cell
# Volume ... 937.53 Å³/cell
# D(E_F) ... 35.85 states/eV per cell
# Energy of formation from the pure elements ... -0.28 eV per atom
# E above lowest polymorph ... 0.000 eV per atom
# Total energy ... -4.545 eV per atom
data_Ho6Ag2Pd
_cell_length_a 9.592
_cell_length_b 9.718
_cell_length_c 10.057
_cell_angle_alpha 90.00
_cell_angle_beta 90.00
_cell_angle_gamma 90.00
_symmetry_space_group_name_H-M 'I m m m'
_symmetry_Int_Tables_number 71
_symmetry_space_group_name_Hall '-I 2 2'
loop_
_atom_site_label
_atom_site_type_symbol
_atom_site_fract_x
_atom_site_fract_y
_atom_site_fract_z
Ho1 Ho 0.000 0.172 0.222
Ho2 Ho 0.174 0.500 0.241
Ho3 Ho 0.188 0.242 0.500
Ag1 Ag 0.000 0.363 0.000
Ag2 Ag 0.147 0.000 0.000
Pd1 Pd 0.000 0.000 0.500
Pd2 Pd 0.000 0.500 0.500

Record 5
# Tl3NCl PBE relaxed
# M_tot ... 0.76 μB per cell
# Volume ... 141.85 Å³/cell
# E_form (uncorrected) ... 0.28 eV/atom
# D(E_F) ... 1.83 states/eV per cell
# E above lowest polymorph ... 0.000 eV per atom
# Total energy ... -3.179 eV per atom
data_Tl3NCl
_cell_length_a 5.215
_cell_length_b 5.215
_cell_length_c 5.215
_cell_angle_alpha 90.00
_cell_angle_beta 90.00
_cell_angle_gamma 90.00
_symmetry_space_group_name_H-M 'P m -3 m'
_symmetry_Int_Tables_number 221
_symmetry_space_group_name_Hall '-P 4 2 3'
loop_
_atom_site_label
_atom_site_type_symbol
_atom_site_fract_x
_atom_site_fract_y
_atom_site_fract_z
Tl1 Tl 0.000 0.000 0.500
N1 N 0.000 0.000 0.000
Cl1 Cl 0.500 0.500 0.500

Record 6
# Ho3Zn2Pt PBE relaxed
# M_tot ... 0.00 μB per cell
# Volume ... 130.81 Å³/cell
# D(E_F) ... 4.44 states/eV per cell
# Energy of formation from the pure elements ... -0.67 eV per atom
# Total energy ... -4.392 eV per atom
data_Ho3Zn2Pt
_cell_length_a 4.9707
_cell_length_b 4.9707
_cell_length_c 6.1132
_cell_angle_alpha 90.00
_cell_angle_beta 90.00
_cell_angle_gamma 120.00
_symmetry_space_group_name_H-M 'P -3 m 1'
_symmetry_Int_Tables_number 164
_symmetry_space_group_name_Hall '-P 3 2"'
loop_
_atom_site_label
_atom_site_type_symbol
_atom_site_fract_x
_atom_site_fract_y
_atom_site_fract_z
Ho1 Ho 0.0000 0.0000 0.0000
Ho2 Ho 0.3333 0.6667 0.6553
Zn1 Zn 0.3333 0.6667 0.1442
Pt1 Pt 0.0000 0.0000 0.5000